An optimized crystal structure of Ac5Tl2Zn2. Source: Alexandria via LeMat-Bulk, functional GGA-PBE.

Unit cell a=9.987 b=9.987 c=8.221 alpha=90.00 beta=90.00 gamma=50.77
Positions (direct):
Ac 0.000 0.000 0.000
Ac 0.050 0.681 0.673
Ac 0.181 0.550 0.173
Ac 0.319 0.950 0.673
Ac 0.450 0.819 0.173
Ac 0.500 0.500 0.500
Ac 0.550 0.181 0.827
Ac 0.681 0.050 0.327
Ac 0.819 0.450 0.827
Ac 0.950 0.319 0.327
Tl 0.219 0.219 0.000
Tl 0.281 0.281 0.500
Tl 0.719 0.719 0.500
Tl 0.781 0.781 0.000
Zn 0.113 0.887 0.386
Zn 0.387 0.613 0.886
Zn 0.613 0.387 0.114
Zn 0.887 0.113 0.614

Properties
- Crystal system: orthorhombic
- Mass density: 8.75 g/cm³
- Calculated formation energy: -0.216 eV/atom